Record 1
Li2PtAu | PBE-GGA | relaxed

The structure in CIF format:
```
data_Li2PtAu
_chemical_formula_sum 'Li2 Pt1 Au1'
_symmetry_space_group_name_H-M 'P 1'
_symmetry_Int_Tables_number 1
_cell_length_a 3.660
_cell_length_b 2.822
_cell_length_c 6.309
_cell_angle_alpha 63.15
_cell_angle_beta 90.00
_cell_angle_gamma 90.00
loop_
_symmetry_equiv_pos_as_xyz
'x,y,z'
loop_
_atom_site_label
_atom_site_type_symbol
_atom_site_fract_x
_atom_site_fract_y
_atom_site_fract_z
Pt1 Pt 0.500 0.250 0.250
Li1 Li 0.000 0.516 0.483
Li2 Li 0.000 0.984 0.017
Au1 Au 0.500 0.750 0.750
```

Properties
As for the formation energy from the elements: -51.89 kJ/mol of atoms.

=====

Record 2
RbAgCl3 | PBE-GGA | relaxed

The structure in CIF format:
```
data_RbAgCl3
_chemical_formula_sum 'Rb2 Ag2 Cl6'
_symmetry_space_group_name_H-M 'P 1'
_symmetry_Int_Tables_number 1
_cell_length_a 5.394
_cell_length_b 5.394
_cell_length_c 10.462
_cell_angle_alpha 90.00
_cell_angle_beta 90.00
_cell_angle_gamma 120.00
loop_
_symmetry_equiv_pos_as_xyz
'x,y,z'
loop_
_atom_site_label
_atom_site_type_symbol
_atom_site_fract_x
_atom_site_fract_y
_atom_site_fract_z
Cl1 Cl 0.000 0.000 0.250
Cl2 Cl 0.667 0.333 0.552
Cl3 Cl 0.333 0.667 0.052
Cl4 Cl 0.333 0.667 0.448
Cl5 Cl 0.000 0.000 0.750
Cl6 Cl 0.667 0.333 0.948
Rb1 Rb 0.667 0.333 0.250
Rb2 Rb 0.333 0.667 0.750
Ag1 Ag 0.000 0.000 0.000
Ag2 Ag 0.000 0.000 0.500
```

=====

Record 3
Ac5Tl4Ru | PBE-GGA | relaxed

The structure in CIF format:
```
data_Ac5Tl4Ru
_chemical_formula_sum 'Ac5 Tl4 Ru1'
_symmetry_space_group_name_H-M 'P 1'
_symmetry_Int_Tables_number 1
_cell_length_a 6.235
_cell_length_b 8.231
_cell_length_c 8.231
_cell_angle_alpha 81.75
_cell_angle_beta 67.74
_cell_angle_gamma 67.74
loop_
_symmetry_equiv_pos_as_xyz
'x,y,z'
loop_
_atom_site_label
_atom_site_type_symbol
_atom_site_fract_x
_atom_site_fract_y
_atom_site_fract_z
Ac1 Ac 0.125 0.641 0.110
Ac2 Ac 0.766 0.110 0.359
Ac3 Ac 0.236 0.890 0.641
Ac4 Ac 0.877 0.359 0.890
Ac5 Ac 0.501 0.000 0.000
Tl1 Tl 0.442 0.421 0.698
Tl2 Tl 0.140 0.302 0.421
Tl3 Tl 0.862 0.698 0.579
Tl4 Tl 0.560 0.579 0.302
Ru1 Ru 0.001 0.000 0.000
```

Properties
As for the formation energy from the elements: -20.81 kJ/mol of atoms.

=====

Record 4
AlInSe | PBE-GGA | relaxed

The structure in CIF format:
```
data_AlInSe
_chemical_formula_sum 'Al1 In1 Se1'
_symmetry_space_group_name_H-M 'P 1'
_symmetry_Int_Tables_number 1
_cell_length_a 4.835
_cell_length_b 4.835
_cell_length_c 4.835
_cell_angle_alpha 60.00
_cell_angle_beta 60.00
_cell_angle_gamma 60.00
loop_
_symmetry_equiv_pos_as_xyz
'x,y,z'
loop_
_atom_site_label
_atom_site_type_symbol
_atom_site_fract_x
_atom_site_fract_y
_atom_site_fract_z
In1 In 0.000 0.000 0.000
Al1 Al 0.750 0.750 0.750
Se1 Se 0.500 0.500 0.500
```

Properties
Its offset from the most stable computed form is 0.307 eV per atom.

=====

Record 5
NaScMnI6 | PBE-GGA | relaxed

The structure in CIF format:
```
data_NaScMnI6
_chemical_formula_sum 'Na2 Sc2 Mn2 I12'
_symmetry_space_group_name_H-M 'P 1'
_symmetry_Int_Tables_number 1
_cell_length_a 7.429
_cell_length_b 7.429
_cell_length_c 14.418
_cell_angle_alpha 90.00
_cell_angle_beta 90.00
_cell_angle_gamma 120.00
loop_
_symmetry_equiv_pos_as_xyz
'x,y,z'
loop_
_atom_site_label
_atom_site_type_symbol
_atom_site_fract_x
_atom_site_fract_y
_atom_site_fract_z
I1 I 0.000 0.360 0.135
I2 I 0.640 0.000 0.865
I3 I 0.000 0.640 0.865
I4 I 0.640 0.640 0.635
I5 I 0.360 0.000 0.635
I6 I 0.640 0.640 0.135
I7 I 0.000 0.640 0.365
I8 I 0.360 0.000 0.135
I9 I 0.360 0.360 0.365
I10 I 0.000 0.360 0.635
I11 I 0.640 0.000 0.365
I12 I 0.360 0.360 0.865
Sc1 Sc 0.667 0.333 0.750
Sc2 Sc 0.333 0.667 0.250
Mn1 Mn 0.667 0.333 0.250
Mn2 Mn 0.333 0.667 0.750
Na1 Na 0.000 0.000 0.000
Na2 Na 0.000 0.000 0.500
```

=====

Record 6
Rb3NiAg | PBE-GGA | relaxed

The structure in CIF format:
```
data_Rb3NiAg
_chemical_formula_sum 'Rb3 Ni1 Ag1'
_symmetry_space_group_name_H-M 'P 1'
_symmetry_Int_Tables_number 1
_cell_length_a 6.309
_cell_length_b 6.309
_cell_length_c 6.309
_cell_angle_alpha 90.00
_cell_angle_beta 90.00
_cell_angle_gamma 90.00
loop_
_symmetry_equiv_pos_as_xyz
'x,y,z'
loop_
_atom_site_label
_atom_site_type_symbol
_atom_site_fract_x
_atom_site_fract_y
_atom_site_fract_z
Rb1 Rb 0.500 0.000 0.000
Rb2 Rb 0.000 0.000 0.500
Rb3 Rb 0.000 0.500 0.000
Ni1 Ni 0.000 0.000 0.000
Ag1 Ag 0.500 0.500 0.500
```

Properties
As for the formation energy from the elements: 49.72 kJ/mol of atoms.

=====

DOS(E_F), respectively: 0.33; 0.89; 1.03; 0.26; 0.00; 0.89 states/eV per atom.
Total energy, respectively: -3.82; -2.65; -4.14; -3.28; -3.85; -1.79 eV per atom.